Record 1
DFT (GGA-PBEsol) results for SrBeIrRh2 after structural relaxation.

Cell and atoms, written as CIF:
```
data_SrBeIrRh2
_chemical_formula_sum 'Sr1 Be1 Ir1 Rh2'
_cell_length_a 4.722
_cell_length_b 4.722
_cell_length_c 4.873
_cell_angle_alpha 90.00
_cell_angle_beta 90.00
_cell_angle_gamma 90.00
_symmetry_space_group_name_H-M 'P 4/m m m'
_symmetry_Int_Tables_number 123
_symmetry_space_group_name_Hall '-P 4 2'
loop_
_atom_site_label
_atom_site_type_symbol
_atom_site_fract_x
_atom_site_fract_y
_atom_site_fract_z
Sr1 Sr 0.000 0.000 0.000
Be1 Be 0.500 0.500 0.500
Ir1 Ir 0.000 0.000 0.500
Rh1 Rh 0.000 0.500 0.000
```

N(E_F): 1.279 states/eV/atom
DFT total energy: -3.83 eV/atom

Record 2
DFT (GGA-PBEsol) results for BeIrRu2 after structural relaxation.

Cell and atoms, written as CIF:
```
data_BeIrRu2
_chemical_formula_sum 'Be2 Ir2 Ru4'
_cell_length_a 2.763
_cell_length_b 4.202
_cell_length_c 8.336
_cell_angle_alpha 90.00
_cell_angle_beta 90.00
_cell_angle_gamma 90.00
_symmetry_space_group_name_H-M 'I m m m'
_symmetry_Int_Tables_number 71
_symmetry_space_group_name_Hall '-I 2 2'
loop_
_atom_site_label
_atom_site_type_symbol
_atom_site_fract_x
_atom_site_fract_y
_atom_site_fract_z
Be1 Be 0.000 0.000 0.000
Ir1 Ir 0.000 0.000 0.500
Ru1 Ru 0.000 0.500 0.281
```

N(E_F): 0.646 states/eV/atom
DFT total energy: -8.63 eV/atom

Record 3
DFT (GGA-PBEsol) results for BeIrRu2 after structural relaxation.

Cell and atoms, written as CIF:
```
data_BeIrRu2
_chemical_formula_sum 'Be2 Ir2 Ru4'
_cell_length_a 2.772
_cell_length_b 4.251
_cell_length_c 8.264
_cell_angle_alpha 90.00
_cell_angle_beta 90.00
_cell_angle_gamma 90.00
_symmetry_space_group_name_H-M 'I m m 2'
_symmetry_Int_Tables_number 44
_symmetry_space_group_name_Hall 'I 2 -2'
loop_
_atom_site_label
_atom_site_type_symbol
_atom_site_fract_x
_atom_site_fract_y
_atom_site_fract_z
Be1 Be 0.000 0.000 0.000
Ir1 Ir 0.000 0.500 0.719
Ru1 Ru 0.000 0.000 0.501
Ru2 Ru 0.000 0.500 0.278
```

N(E_F): 0.780 states/eV/atom
DFT total energy: -8.64 eV/atom

Q: Among the records above, which one has the highest DFT total energy?
A: SrBeIrRh2

Q: Among the records above, which one has the lowest DFT total energy?
A: number 3

Please write out number 3 again, unchanged.
DFT (GGA-PBEsol) results for BeIrRu2 after structural relaxation.

Cell and atoms, written as CIF:
```
data_BeIrRu2
_chemical_formula_sum 'Be2 Ir2 Ru4'
_cell_length_a 2.772
_cell_length_b 4.251
_cell_length_c 8.264
_cell_angle_alpha 90.00
_cell_angle_beta 90.00
_cell_angle_gamma 90.00
_symmetry_space_group_name_H-M 'I m m 2'
_symmetry_Int_Tables_number 44
_symmetry_space_group_name_Hall 'I 2 -2'
loop_
_atom_site_label
_atom_site_type_symbol
_atom_site_fract_x
_atom_site_fract_y
_atom_site_fract_z
Be1 Be 0.000 0.000 0.000
Ir1 Ir 0.000 0.500 0.719
Ru1 Ru 0.000 0.000 0.501
Ru2 Ru 0.000 0.500 0.278
```

N(E_F): 0.780 states/eV/atom
DFT total energy: -8.64 eV/atom